Entry 1:
The following is a DFT calculation (PBE-GGA) of a geometry-optimized Nd2YErSc structure.

Unit cell a=7.185 b=8.173 c=7.017 alpha=125.61 beta=90.00 gamma=90.00
Sites, in units of the cell vectors:
Er 0.250 0.722 0.443
Er 0.750 0.278 0.557
Nd 0.500 0.300 0.000
Nd 0.000 0.300 0.000
Nd 0.000 0.700 0.000
Nd 0.500 0.700 0.000
Y 0.250 0.254 0.507
Y 0.750 0.746 0.493
Sc 0.750 0.018 0.037
Sc 0.250 0.982 0.963

Output
energy of formation	368	meV/atom
crystal system	orthorhombic
DOS(E_F)	1.353	states/eV per atom

Entry 2:
The following is a DFT calculation (PBE-GGA) of a geometry-optimized Nd2Y6Er3Sc structure.

Unit cell a=6.140 b=6.140 c=11.775 alpha=94.97 beta=94.97 gamma=119.97
Sites, in units of the cell vectors:
Sc 0.000 0.000 0.000
Y 0.916 0.586 0.749
Y 0.084 0.414 0.251
Y 0.753 0.753 0.252
Y 0.414 0.084 0.251
Y 0.586 0.916 0.749
Y 0.247 0.247 0.748
Er 0.500 0.500 0.500
Er 0.834 0.166 0.500
Er 0.166 0.834 0.500
Nd 0.667 0.333 0.000
Nd 0.333 0.667 0.000

Output
energy of formation	31	meV/atom
crystal system	monoclinic
DOS(E_F)	1.445	states/eV per atom

Entry 3:
The following is a DFT calculation (PBE-GGA) of a geometry-optimized Nd2Y2ErSc structure.

Unit cell a=5.574 b=7.039 c=9.675 alpha=90.00 beta=90.00 gamma=90.00
Sites, in units of the cell vectors:
Nd 0.500 0.758 0.647
Nd 0.500 0.258 0.353
Nd 0.000 0.758 0.185
Nd 0.000 0.258 0.815
Sc 0.500 0.758 0.321
Sc 0.500 0.258 0.679
Y 0.500 0.508 0.000
Y 0.000 0.257 0.157
Y 0.000 0.757 0.843
Y 0.500 0.008 0.000
Er 0.000 0.508 0.500
Er 0.000 0.008 0.500

Output
energy of formation	62	meV/atom
crystal system	orthorhombic
DOS(E_F)	1.780	states/eV per atom

Entry 4:
The following is a DFT calculation (PBE-GGA) of a geometry-optimized NdYEr2Sc structure.

Unit cell a=4.978 b=7.824 c=7.837 alpha=89.65 beta=90.00 gamma=90.00
Sites, in units of the cell vectors:
Sc 0.750 0.452 0.350
Sc 0.250 0.548 0.650
Y 0.250 0.945 0.847
Y 0.750 0.055 0.153
Er 0.750 0.647 0.953
Er 0.750 0.841 0.553
Er 0.250 0.159 0.447
Er 0.250 0.353 0.047
Nd 0.250 0.744 0.259
Nd 0.750 0.256 0.741

Output
energy of formation	44	meV/atom
crystal system	monoclinic
DOS(E_F)	1.547	states/eV per atom

Entry 5:
The following is a DFT calculation (PBE-GGA) of a geometry-optimized NdY6Er2Sc structure.

Unit cell a=8.751 b=9.119 c=9.119 alpha=118.80 beta=91.00 gamma=91.00
Sites, in units of the cell vectors:
Er 0.942 0.679 0.788
Er 0.558 0.212 0.321
Er 0.058 0.321 0.212
Er 0.442 0.788 0.679
Y 0.448 0.209 0.869
Y 0.948 0.869 0.209
Y 0.295 0.046 0.460
Y 0.795 0.460 0.046
Y 0.909 0.267 0.525
Y 0.409 0.525 0.267
Y 0.052 0.131 0.791
Y 0.591 0.475 0.733
Y 0.705 0.954 0.540
Y 0.205 0.540 0.954
Y 0.091 0.733 0.475
Y 0.552 0.791 0.131
Nd 0.750 0.033 0.967
Nd 0.250 0.967 0.033
Sc 0.750 0.557 0.443
Sc 0.250 0.443 0.557

Output
energy of formation	121	meV/atom
crystal system	monoclinic
DOS(E_F)	1.432	states/eV per atom

Entry 6:
The following is a DFT calculation (PBE-GGA) of a geometry-optimized NdY2ErSc structure.

Unit cell a=7.132 b=8.215 c=6.961 alpha=126.16 beta=90.00 gamma=90.00
Sites, in units of the cell vectors:
Er 0.250 0.266 0.533
Er 0.750 0.734 0.467
Sc 0.250 0.995 0.990
Sc 0.750 0.005 0.010
Y 0.000 0.698 0.000
Y 0.500 0.302 0.000
Y 0.000 0.302 0.000
Y 0.500 0.698 0.000
Nd 0.250 0.732 0.464
Nd 0.750 0.268 0.536

Output
energy of formation	335	meV/atom
crystal system	orthorhombic
DOS(E_F)	1.265	states/eV per atom

Entry 7:
The following is a DFT calculation (PBE-GGA) of a geometry-optimized NdY5ErSc2 structure.

Unit cell a=5.629 b=11.116 c=9.370 alpha=90.00 beta=90.00 gamma=104.67
Sites, in units of the cell vectors:
Y 0.611 0.221 0.547
Y 0.307 0.614 0.716
Y 0.009 0.019 0.014
Y 0.389 0.779 0.047
Y 0.531 0.062 0.248
Y 0.264 0.529 0.336
Y 0.991 0.981 0.514
Y 0.693 0.386 0.216
Y 0.736 0.471 0.836
Y 0.469 0.938 0.748
Er 0.402 0.805 0.419
Er 0.598 0.195 0.919
Sc 0.887 0.774 0.824
Sc 0.113 0.226 0.324
Sc 0.136 0.271 0.701
Sc 0.864 0.729 0.201
Nd 0.184 0.367 0.018
Nd 0.816 0.633 0.518

Output
energy of formation	167	meV/atom
crystal system	orthorhombic
DOS(E_F)	1.589	states/eV per atom

Entry 8:
The following is a DFT calculation (PBE-GGA) of a geometry-optimized Nd2YEr5Sc structure.

Unit cell a=8.497 b=8.497 c=9.841 alpha=115.58 beta=115.58 gamma=90.00
Sites, in units of the cell vectors:
Sc 0.250 0.750 0.500
Sc 0.750 0.250 0.500
Er 0.352 0.852 0.285
Er 0.000 0.000 0.000
Er 0.433 0.352 0.285
Er 0.148 0.067 0.715
Er 0.500 0.500 0.000
Er 0.567 0.648 0.715
Er 0.933 0.433 0.285
Er 0.067 0.567 0.715
Er 0.648 0.148 0.715
Er 0.852 0.933 0.285
Nd 0.380 0.880 0.000
Nd 0.120 0.380 0.000
Nd 0.620 0.120 0.000
Nd 0.880 0.620 0.000
Y 0.750 0.750 0.500
Y 0.250 0.250 0.500

Output
energy of formation	273	meV/atom
crystal system	tetragonal
DOS(E_F)	1.312	states/eV per atom

Entry 9:
The following is a DFT calculation (PBE-GGA) of a geometry-optimized Nd2Er2Se5 structure.

Unit cell a=7.709 b=8.378 c=8.378 alpha=124.68 beta=90.00 gamma=90.00
Sites, in units of the cell vectors:
Nd 0.500 0.698 0.302
Nd 0.500 0.302 0.698
Nd 0.000 0.802 0.198
Nd 0.000 0.198 0.802
Se 0.154 0.208 0.475
Se 0.846 0.525 0.792
Se 0.154 0.475 0.208
Se 0.346 0.708 0.975
Se 0.500 0.500 0.500
Se 0.846 0.792 0.525
Se 0.000 0.000 0.000
Se 0.654 0.292 0.025
Se 0.654 0.025 0.292
Se 0.346 0.975 0.708
Er 0.344 0.151 0.151
Er 0.156 0.651 0.651
Er 0.656 0.849 0.849
Er 0.844 0.349 0.349

Output
formation energy (no corrections)	-15.628	eV per formula unit
excess energy over the best structure of this formula in the dataset	0.000	eV per atom
crystal system	orthorhombic
DOS(E_F)	0.716	states/eV per atom

Entry 10:
The following is a DFT calculation (PBE-GGA) of a geometry-optimized Nd3ErSe6 structure.

Unit cell a=7.012 b=7.734 c=10.622 alpha=90.00 beta=91.20 gamma=90.00
Sites, in units of the cell vectors:
Nd 0.545 0.897 0.746
Nd 0.500 0.500 0.000
Nd 0.000 0.000 0.500
Nd 0.045 0.603 0.246
Nd 0.955 0.397 0.754
Nd 0.455 0.103 0.254
Er 0.000 0.000 0.000
Er 0.500 0.500 0.500
Se 0.842 0.941 0.243
Se 0.834 0.687 0.922
Se 0.666 0.187 0.578
Se 0.342 0.559 0.743
Se 0.322 0.821 0.081
Se 0.178 0.321 0.419
Se 0.678 0.179 0.919
Se 0.658 0.441 0.257
Se 0.158 0.059 0.757
Se 0.166 0.313 0.078
Se 0.334 0.813 0.422
Se 0.822 0.679 0.581

Output
formation energy (no corrections)	-18.428	eV per formula unit
excess energy over the best structure of this formula in the dataset	0.021	eV per atom
crystal system	monoclinic
DOS(E_F)	0.000	states/eV per atom